Material: InSi2WF
Method: DFT, GGA+U
State: relaxed

The structure belongs to space group P4/mmm (No. 123); the cell edges are 4.777, 4.777 and 5.530 Å and the angles 90.00°, 90.00° and 90.00°. The inequivalent atoms are In at (0.000, 0.000, 0.000), Si at (0.000, 0.500, 0.500), W at (0.000, 0.000, 0.500) and F at (0.500, 0.500, 0.000).

The density of states at the Fermi level is 0.533 states/eV per atom. The calculation puts the raw total energy at -4.130 eV per atom.